--- i ---
This record from Alexandria via LeMat-Bulk describes a geometry-optimized ZrTe2PI structure. The functional is PBE.

Structure (POSCAR):
```
ZrTe2PI
1.0
5.611 0.000 0.000
0.000 5.611 0.000
0.000 0.000 5.832
Zr Te P I
1 2 1 1
direct
0.000 0.000 0.000 Zr
0.000 0.500 0.000 Te
0.500 0.000 0.000 Te
0.500 0.500 0.500 P
0.000 0.000 0.500 I
```

Calculated values
- total magnetic moment (μB per atom) = 0.501
- space-group type = P4/mmm
- crystal system = tetragonal

---

--- ii ---
This record from Alexandria via LeMat-Bulk describes a geometry-optimized ZrTe2PI structure. The functional is PBE.

Structure (POSCAR):
```
ZrTe2PI
1.0
5.277 0.000 0.000
0.000 5.277 0.000
0.000 0.000 5.136
Zr Te P I
1 2 1 1
direct
0.000 0.000 0.000 Zr
0.000 0.500 0.500 Te
0.500 0.000 0.500 Te
0.500 0.500 0.500 P
0.500 0.500 0.000 I
```

Calculated values
- total magnetic moment (μB per atom) = 0.211
- space-group type = P4/mmm
- crystal system = tetragonal

---

It is i that is most stable; the runner-up trails by 153 meV per atom.

---

--- i ---
This record from Alexandria via LeMat-Bulk describes a geometry-optimized ZrTePI2 structure. The functional is PBE.

Structure (POSCAR):
```
ZrTePI2
1.0
5.266 0.000 0.000
0.000 5.266 0.000
0.000 0.000 5.470
Zr Te P I
1 1 1 2
direct
0.000 0.000 0.000 Zr
0.500 0.500 0.000 Te
0.500 0.500 0.500 P
0.000 0.500 0.500 I
0.500 0.000 0.500 I
```

Calculated values
- total magnetic moment (μB per atom) = 0.400
- space-group type = P4/mmm
- crystal system = tetragonal

---

--- ii ---
This record from Alexandria via LeMat-Bulk describes a geometry-optimized ZrTePI2 structure. The functional is PBE.

Structure (POSCAR):
```
ZrTePI2
1.0
5.828 0.000 0.000
0.000 5.828 0.000
0.000 0.000 5.596
Zr Te P I
1 1 1 2
direct
0.000 0.000 0.000 Zr
0.000 0.000 0.500 Te
0.500 0.500 0.500 P
0.000 0.500 0.000 I
0.500 0.000 0.000 I
```

Calculated values
- total magnetic moment (μB per atom) = 0.593
- space-group type = P4/mmm
- crystal system = tetragonal

---

It is ii that is most stable; the runner-up trails by 344 meV per atom.

---

--- i ---
This record from Alexandria via LeMat-Bulk describes a geometry-optimized TiPI3 structure. The functional is PBE.

Structure (POSCAR):
```
TiPI3
1.0
5.608 0.000 0.000
0.000 5.608 0.000
0.000 0.000 5.608
Ti P I
1 1 3
direct
0.000 0.000 0.000 Ti
0.500 0.500 0.500 P
0.000 0.000 0.500 I
0.000 0.500 0.000 I
0.500 0.000 0.000 I
```

Calculated values
- total magnetic moment (μB per atom) = 0.800
- space-group type = Pm-3m
- crystal system = cubic

---

--- ii ---
This record from Alexandria via LeMat-Bulk describes a geometry-optimized TiPI3 structure. The functional is PBE.

Structure (POSCAR):
```
TiPI3
1.0
5.489 0.000 0.000
0.000 5.489 0.000
0.000 0.000 5.489
Ti P I
1 1 3
direct
0.000 0.000 0.000 Ti
0.500 0.500 0.500 P
0.000 0.500 0.500 I
0.500 0.000 0.500 I
0.500 0.500 0.000 I
```

Calculated values
- total magnetic moment (μB per atom) = 0.060
- space-group type = Pm-3m
- crystal system = cubic

---

It is i that is most stable; the runner-up trails by 506 meV per atom.